Record 1
{"formula": "HfVAg", "functional": "PBE-GGA", "state": "optimized geometry", "lattice": [[4.7605, -2.3026, 0.0000], [4.7605, 2.3026, 0.0000], [-3.0801, 0.0000, 4.9379]], "species": ["Hf", "Hf", "V", "V", "Ag", "Ag"], "fractional_positions": [[0.0000, 0.0000, 0.0000], [0.6526, 0.6526, 0.4856], [0.3140, 0.3140, 0.9994], [0.6832, 0.6832, 0.9996], [0.3386, 0.3386, 0.5267], [0.9888, 0.9888, 0.4928]], "delta_e_f_mev_per_atom": 221, "de_polymorph_mev_per_atom": 65.6, "volume_a3_per_fu": 54.13, "sg": "Cm"}

Record 2
{"formula": "MgAsOsI2", "functional": "PBE-GGA", "state": "optimized geometry", "lattice": [[5.2284, 0.0000, 0.0000], [0.0000, 5.2284, 0.0000], [0.0000, 0.0000, 5.1448]], "species": ["Mg", "As", "Os", "I", "I"], "fractional_positions": [[0.0000, 0.0000, 0.0000], [0.5000, 0.5000, 0.0000], [0.0000, 0.0000, 0.5000], [0.0000, 0.5000, 0.5000], [0.5000, 0.0000, 0.5000]], "e_form_raw_ev_per_fu": 4.653, "volume_a3_per_fu": 140.64, "sg": "P4/mmm"}

Record 3
{"formula": "Pa2V", "functional": "PBE-GGA", "state": "optimized geometry", "lattice": [[-1.7576, 1.7576, 5.0314], [1.7576, -1.7576, 5.0314], [1.7576, 1.7576, -5.0314]], "species": ["Pa", "Pa", "V"], "fractional_positions": [[0.1645, 0.1645, 0.0000], [0.8355, 0.8355, 0.0000], [0.5000, 0.5000, 0.0000]], "delta_e_f_mev_per_atom": 103, "volume_a3_per_fu": 62.17, "sg": "I4/mmm"}

Record 4
{"formula": "La2MgScRh", "functional": "PBE-GGA", "state": "optimized geometry", "lattice": [[5.6087, 0.0000, 0.0000], [0.0000, 5.6087, 0.0000], [0.0000, 0.0000, 5.0886]], "species": ["La", "La", "Mg", "Sc", "Rh"], "fractional_positions": [[0.0000, 0.5000, 0.0000], [0.5000, 0.0000, 0.0000], [0.0000, 0.0000, 0.5000], [0.5000, 0.5000, 0.5000], [0.5000, 0.5000, 0.0000]], "delta_e_f_mev_per_atom": -248, "volume_a3_per_fu": 160.07, "sg": "P4/mmm"}

Record 5
{"formula": "PmPr3Dy2Se6", "functional": "PBE-GGA", "state": "optimized geometry", "lattice": [[3.5980, -6.2627, 0.0000], [3.5980, 6.2627, 0.0000], [-2.4107, 0.0000, 6.9296]], "species": ["Pm", "Pr", "Pr", "Pr", "Dy", "Dy", "Se", "Se", "Se", "Se", "Se", "Se"], "fractional_positions": [[0.0000, 0.0000, 0.0000], [0.1619, 0.8381, 0.5000], [0.5000, 0.5000, 0.5000], [0.8381, 0.1619, 0.5000], [0.3338, 0.6662, 0.0000], [0.6662, 0.3338, 0.0000], [0.0790, 0.4200, 0.2377], [0.2629, 0.2629, 0.7662], [0.4200, 0.0790, 0.2377], [0.5800, 0.9210, 0.7623], [0.7371, 0.7371, 0.2338], [0.9210, 0.5800, 0.7623]], "e_form_raw_ev_per_fu": -21.794, "volume_a3_per_fu": 312.29, "sg": "C2/m"}

Record 6
{"formula": "LiUI6", "functional": "PBE-GGA", "state": "optimized geometry", "lattice": [[3.7990, 2.1934, 6.8180], [-3.7990, 2.1934, 6.8180], [0.0000, -4.3867, 6.8180]], "species": ["Li", "U", "I", "I", "I", "I", "I", "I"], "fractional_positions": [[0.0000, 0.0000, 0.0000], [0.5000, 0.5000, 0.5000], [0.1100, 0.4013, 0.7402], [0.2598, 0.8900, 0.5987], [0.4013, 0.7402, 0.1100], [0.5987, 0.2598, 0.8900], [0.7402, 0.1100, 0.4013], [0.8900, 0.5987, 0.2598]], "e_form_raw_ev_per_fu": -6.670, "de_polymorph_mev_per_atom": 40.7, "volume_a3_per_fu": 340.89, "sg": "R-3"}

Record 7
{"formula": "SrNdEuEr", "functional": "PBE-GGA", "state": "optimized geometry", "lattice": [[0.0000, 4.2587, 4.2587], [4.2587, 0.0000, 4.2587], [4.2587, 4.2587, 0.0000]], "species": ["Sr", "Nd", "Eu", "Er"], "fractional_positions": [[0.0000, 0.0000, 0.0000], [0.2500, 0.2500, 0.2500], [0.7500, 0.7500, 0.7500], [0.5000, 0.5000, 0.5000]], "delta_e_f_mev_per_atom": 199, "volume_a3_per_fu": 154.47, "sg": "F-43m"}

Record 8
{"formula": "CaMn3S", "functional": "PBE-GGA", "state": "optimized geometry", "lattice": [[4.4668, 0.0000, 0.0000], [0.0000, 4.4668, 0.0000], [0.0000, 0.0000, 4.4668]], "species": ["Ca", "Mn", "Mn", "Mn", "S"], "fractional_positions": [[0.0000, 0.0000, 0.0000], [0.0000, 0.5000, 0.5000], [0.5000, 0.0000, 0.5000], [0.5000, 0.5000, 0.0000], [0.5000, 0.5000, 0.5000]], "e_form_raw_ev_per_fu": 0.324, "de_polymorph_mev_per_atom": 0.0, "volume_a3_per_fu": 89.12, "sg": "Pm-3m"}